Version A
DFT (GGA-PBE) results for a relaxed NdBeAu4 crystal.

Computed properties:
The value obtained for the total moment is 0.00 μB/f.u. Its space-group type is C2/c, No. 15.

Unit cell a=7.3990 b=7.3990 c=5.2238 alpha=93.65 beta=93.65 gamma=57.77
Last column: nearest neighbours and their distance in Å.
Sites, in units of the cell vectors:
Nd 0.2167 0.7833 0.7500  10 Au 3.12-3.30
Nd 0.7833 0.2167 0.2500  10 Au 3.12-3.30
Be 0.0000 0.5000 0.0000  6 Au 2.35-2.52
Be 0.5000 0.0000 0.5000  6 Au 2.35-2.52
Au 0.1349 0.2509 0.6093  2 Be 2.40-2.52
Au 0.2509 0.1349 0.1093  2 Be 2.40-2.52
Au 0.2845 0.5025 0.2222  1 Be 2.35
Au 0.4975 0.7155 0.2778  1 Be 2.35
Au 0.5025 0.2845 0.7222  1 Be 2.35
Au 0.7155 0.4975 0.7778  1 Be 2.35
Au 0.7491 0.8651 0.8907  2 Be 2.40-2.52
Au 0.8651 0.7491 0.3907  2 Be 2.40-2.52


Version B
DFT (GGA-PBE) results for a relaxed NdBeAu4 crystal.

Computed properties:
The value obtained for the total moment is 0.00 μB/f.u. Its space-group type is C2/m, No. 12.

Unit cell a=5.9709 b=5.9709 c=7.8692 alpha=108.39 beta=108.39 gamma=62.84
Last column: nearest neighbours and their distance in Å.
Sites, in units of the cell vectors:
Nd 0.2085 0.2085 0.3004  13 Au 3.16-3.41, 2 Be 3.24-3.34
Nd 0.7915 0.7915 0.6996  13 Au 3.16-3.41, 2 Be 3.24-3.34
Be 0.4628 0.4628 0.6968  5 Au 2.25-2.38
Be 0.5372 0.5372 0.3032  5 Au 2.25-2.38
Au 0.1461 0.6611 0.0923  1 Be 2.35
Au 0.2375 0.7625 0.5000  2 Be 2.38
Au 0.2535 0.2535 0.7316  1 Be 2.25
Au 0.3389 0.8539 0.9077  1 Be 2.35
Au 0.6611 0.1461 0.0923  1 Be 2.35
Au 0.7465 0.7465 0.2684  1 Be 2.25
Au 0.7625 0.2375 0.5000  2 Be 2.38
Au 0.8539 0.3389 0.9077  1 Be 2.35


Most stable of them? version B.